No. 1
Density functional theory data (PBE) for a geometry-optimized YHo4Mg7 structure.

## Properties
Energy of formation = -23 meV/atom

Lattice parameters (Å, degrees): 5.2897 5.2897 13.1886 90.00 90.00 120.00
Atoms (fractional coordinates):
Y 0.0000 0.0000 0.5000
Ho 0.3333 0.6667 0.9221
Ho 0.6667 0.3333 0.0779
Ho 0.3333 0.6667 0.6624
Ho 0.6667 0.3333 0.3376
Mg 0.0000 0.0000 0.0000
Mg 0.3333 0.6667 0.4176
Mg 0.6667 0.3333 0.5824
Mg 0.3333 0.6667 0.1814
Mg 0.6667 0.3333 0.8186
Mg 0.0000 0.0000 0.7621
Mg 0.0000 0.0000 0.2379

=====

No. 2
Density functional theory data (PBE) for a geometry-optimized Y2Ho8Mg structure.

## Properties
Energy of formation = 154 meV/atom

Lattice parameters (Å, degrees): 6.6285 9.9491 9.9491 38.50 59.46 59.46
Atoms (fractional coordinates):
Y 0.5728 0.8134 0.8134
Y 0.4272 0.1866 0.1866
Ho 0.2223 0.3404 0.8222
Ho 0.7777 0.1778 0.6596
Ho 0.1719 0.7531 0.7531
Ho 0.8281 0.2469 0.2469
Ho 0.2223 0.8222 0.3404
Ho 0.7777 0.6596 0.1778
Ho 0.7251 0.5941 0.5941
Ho 0.2749 0.4059 0.4059
Mg 0.0000 0.0000 0.0000

=====

No. 3
Density functional theory data (PBE) for a geometry-optimized Y8HoMg2 structure.

## Properties
Energy of formation = 5 meV/atom

Lattice parameters (Å, degrees): 5.3630 8.4392 8.7071 114.29 107.94 90.00
Atoms (fractional coordinates):
Y 0.6015 0.4716 0.2031
Y 0.3117 0.0465 0.6234
Y 0.1476 0.2048 0.2952
Y 0.0572 0.7355 0.1145
Y 0.8524 0.7952 0.7048
Y 0.6883 0.9535 0.3766
Y 0.3985 0.5284 0.7969
Y 0.9428 0.2645 0.8855
Ho 0.5000 0.0000 0.0000
Mg 0.2265 0.6290 0.4531
Mg 0.7735 0.3710 0.5469

=====

No. 4
Density functional theory data (PBE) for a geometry-optimized Y5Ho12Mg2 structure.

## Properties
Energy of formation = 99 meV/atom

Lattice parameters (Å, degrees): 9.0150 9.1051 8.3384 90.38 90.00 119.67
Atoms (fractional coordinates):
Y 0.2363 0.4726 0.5782
Y 0.3013 0.6025 0.9950
Y 0.0000 0.0000 0.5000
Y 0.6987 0.3975 0.0050
Y 0.7637 0.5274 0.4218
Ho 0.9098 0.8196 0.1039
Ho 0.0326 0.6934 0.7550
Ho 0.6609 0.6934 0.7550
Ho 0.1806 0.7514 0.3339
Ho 0.5708 0.7514 0.3339
Ho 0.4440 0.8880 0.6652
Ho 0.5560 0.1120 0.3348
Ho 0.8194 0.2486 0.6661
Ho 0.4292 0.2486 0.6661
Ho 0.9674 0.3066 0.2450
Ho 0.3392 0.3066 0.2450
Ho 0.0902 0.1804 0.8961
Mg 0.6731 0.0000 0.0000
Mg 0.3269 0.0000 0.0000

=====

No. 5
Density functional theory data (PBE) for a geometry-optimized Y3Ho4Mg2 structure.

## Properties
Energy of formation = 9 meV/atom

Lattice parameters (Å, degrees): 4.9106 7.8318 7.7963 107.74 108.36 90.00
Atoms (fractional coordinates):
Y 0.8876 0.3323 0.7753
Y 0.1124 0.6677 0.2247
Y 0.0000 0.0000 0.0000
Ho 0.5568 0.3354 0.1135
Ho 0.7790 0.6691 0.5580
Ho 0.4432 0.6646 0.8865
Ho 0.2210 0.3309 0.4420
Mg 0.3312 0.0009 0.6624
Mg 0.6688 0.9991 0.3376

=====

No. 6
Density functional theory data (PBE) for a geometry-optimized Y2HoMg structure.

## Properties
Energy of formation = 43 meV/atom

Lattice parameters (Å, degrees): 3.5075 3.5075 11.5493 81.27 81.27 59.94
Atoms (fractional coordinates):
Y 0.0845 0.0845 0.7467
Y 0.2487 0.2487 0.2537
Ho 0.6669 0.6669 0.9997
Mg 0.4999 0.4999 0.4999

=====

No. 7
Density functional theory data (PBE) for a geometry-optimized Y12Ho6Mg structure.

## Properties
Energy of formation = 151 meV/atom

Lattice parameters (Å, degrees): 8.6153 8.6153 8.6153 97.38 97.38 97.38
Atoms (fractional coordinates):
Y 0.5870 0.1675 0.5870
Y 0.1675 0.5870 0.5870
Y 0.5870 0.5870 0.1675
Y 0.4130 0.8325 0.4130
Y 0.8325 0.4130 0.4130
Y 0.4130 0.4130 0.8325
Y 0.2615 0.0001 0.7385
Y 0.2615 0.7385 0.9999
Y 0.9999 0.2615 0.7385
Y 0.7385 0.9999 0.2615
Y 0.7385 0.2615 0.0001
Y 0.0001 0.7385 0.2615
Ho 0.1368 0.1370 0.4081
Ho 0.8630 0.5919 0.8632
Ho 0.5919 0.8632 0.8630
Ho 0.8632 0.8630 0.5919
Ho 0.1370 0.4081 0.1368
Ho 0.4081 0.1368 0.1370
Mg 0.0000 0.0000 0.0000

=====

No. 8
Density functional theory data (PBE) for a geometry-optimized Y2HoMg2 structure.

## Properties
Energy of formation = 52 meV/atom

Lattice parameters (Å, degrees): 5.2320 5.9594 5.9594 69.45 63.96 63.96
Atoms (fractional coordinates):
Y 0.1974 0.3026 0.3026
Y 0.8026 0.6974 0.6974
Ho 0.0000 0.0000 0.0000
Mg 0.5000 0.2903 0.7097
Mg 0.5000 0.7097 0.2903